1.
Here is LaCu2Au6 after structural relaxation from Alexandria via LeMat-Bulk. Energies are from GGA-PBE.

abc: 8.340 8.340 8.340
angles: 60.00 60.00 60.00
Fractional coordinates of all 18 atoms:
Cu: 0.125 0.125 0.125
Cu: 0.625 0.125 0.125
Cu: 0.125 0.125 0.625
Cu: 0.125 0.625 0.125
Au: 0.497 0.003 0.497
Au: 0.753 0.753 0.247
Au: 0.247 0.753 0.247
Au: 0.497 0.497 0.003
Au: 0.247 0.247 0.753
Au: 0.753 0.247 0.753
Au: 0.753 0.247 0.247
Au: 0.497 0.003 0.003
Au: 0.247 0.753 0.753
Au: 0.003 0.497 0.497
Au: 0.003 0.497 0.003
Au: 0.003 0.003 0.497
La: 0.750 0.750 0.750
La: 0.500 0.500 0.500

Density (g/cm3): 11.72
Formation enthalpy at 0 K (eV/f.u.): -0.40
Final energy (eV per cell): -66.36

2.
Here is LaCu2Au after structural relaxation from Alexandria via LeMat-Bulk. Energies are from GGA-PBE.

abc: 4.261 5.460 7.279
angles: 90.00 90.00 112.96
Fractional coordinates of all 8 atoms:
Cu: 0.891 0.782 0.000
Cu: 0.457 0.915 0.500
Cu: 0.024 0.047 0.318
Cu: 0.024 0.047 0.682
La: 0.740 0.480 0.500
La: 0.594 0.188 0.000
Au: 0.299 0.599 0.199
Au: 0.299 0.599 0.801

Density (g/cm3): 9.86
Formation enthalpy at 0 K (eV/f.u.): -1.59
Final energy (eV per cell): -35.97

3.
Here is LaCu4Au8 after structural relaxation from Alexandria via LeMat-Bulk. Energies are from GGA-PBE.

abc: 5.367 7.058 7.058
angles: 81.69 67.65 67.65
Fractional coordinates of all 13 atoms:
Au: 0.340 0.660 0.660
Au: 0.000 0.660 0.340
Au: 0.500 0.221 0.779
Au: 0.000 0.340 0.660
Au: 0.500 0.779 0.221
Au: 0.279 0.221 0.221
Au: 0.721 0.779 0.779
Au: 0.660 0.340 0.340
Cu: 0.500 0.500 0.000
Cu: 0.000 0.000 0.500
Cu: 0.500 0.000 0.500
Cu: 0.000 0.500 0.000
La: 0.000 0.000 0.000

Density (g/cm3): 14.29
Formation enthalpy at 0 K (eV/f.u.): -3.51
Final energy (eV per cell): -51.04

4.
Here is LaCu3Au after structural relaxation from Alexandria via LeMat-Bulk. Energies are from GGA-PBE.

abc: 5.171 5.171 5.171
angles: 90.00 90.00 90.00
Fractional coordinates of all 5 atoms:
La: 0.000 0.000 0.000
Cu: 0.000 0.000 0.500
Cu: 0.000 0.500 0.000
Cu: 0.500 0.000 0.000
Au: 0.500 0.500 0.500

Energy relative to the lowest polymorph listed for this composition (meV/atom): 1133.0
Density (g/cm3): 6.32
Formation enthalpy at 0 K (eV/f.u.): 6.44
Final energy (eV per cell): -14.05

5.
Here is La2CuAu3 after structural relaxation from Alexandria via LeMat-Bulk. Energies are from GGA-PBE.

abc: 6.003 6.003 8.979
angles: 105.50 105.50 101.59
Fractional coordinates of all 12 atoms:
Cu: 0.332 0.332 0.665
Cu: 0.668 0.668 0.335
La: 0.752 0.752 0.000
La: 0.750 0.250 0.500
La: 0.250 0.750 0.500
La: 0.248 0.248 0.000
Au: 0.347 0.825 0.172
Au: 0.175 0.653 0.828
Au: 0.653 0.175 0.828
Au: 0.827 0.827 0.654
Au: 0.825 0.347 0.172
Au: 0.173 0.173 0.346

Density (g/cm3): 10.78
Formation enthalpy at 0 K (eV/f.u.): -4.18
Final energy (eV per cell): -55.93

6.
Here is La2CuAu2 after structural relaxation from Alexandria via LeMat-Bulk. Energies are from GGA-PBE.

abc: 7.918 7.918 4.104
angles: 90.00 90.00 90.00
Fractional coordinates of all 10 atoms:
La: 0.827 0.327 0.500
La: 0.327 0.173 0.500
La: 0.173 0.673 0.500
La: 0.673 0.827 0.500
Au: 0.131 0.369 0.000
Au: 0.631 0.131 0.000
Au: 0.869 0.631 0.000
Au: 0.369 0.869 0.000
Cu: 0.500 0.500 0.000
Cu: 0.000 0.000 0.000

Energy relative to the lowest polymorph listed for this composition (meV/atom): 101.0
Density (g/cm3): 9.49
Formation enthalpy at 0 K (eV/f.u.): -2.74
Final energy (eV per cell): -46.49

7.
Here is La6CuAu after structural relaxation from Alexandria via LeMat-Bulk. Energies are from GGA-PBE.

abc: 5.316 5.315 9.617
angles: 73.96 73.91 90.00
Fractional coordinates of all 8 atoms:
La: 0.102 0.603 0.795
La: 0.750 0.751 0.499
La: 0.250 0.249 0.501
La: 0.398 0.897 0.205
La: 0.602 0.103 0.795
La: 0.898 0.397 0.205
Cu: 0.000 0.000 0.000
Au: 0.500 0.500 0.000

Density (g/cm3): 7.26
Formation enthalpy at 0 K (eV/f.u.): -1.70
Final energy (eV per cell): -38.64

8.
Here is LaCu2Au10 after structural relaxation from Alexandria via LeMat-Bulk. Energies are from GGA-PBE.

abc: 5.502 7.157 7.284
angles: 81.65 67.81 67.39
Fractional coordinates of all 13 atoms:
Au: 0.658 0.356 0.327
Au: 0.015 0.644 0.327
Au: 0.508 0.775 0.208
Au: 0.000 0.000 0.500
Au: 0.716 0.775 0.792
Au: 0.342 0.644 0.673
Au: 0.284 0.225 0.208
Au: 0.500 0.000 0.500
Au: 0.985 0.356 0.673
Au: 0.492 0.225 0.792
Cu: 0.500 0.500 0.000
Cu: 0.000 0.500 0.000
La: 0.000 0.000 0.000

Density (g/cm3): 15.14
Formation enthalpy at 0 K (eV/f.u.): -3.16
Final energy (eV per cell): -49.05

9.
Here is La6Cu5Au after structural relaxation from Alexandria via LeMat-Bulk. Energies are from GGA-PBE.

abc: 5.226 7.323 9.026
angles: 66.06 73.22 90.00
Fractional coordinates of all 12 atoms:
La: 0.168 0.423 0.662
La: 0.832 0.577 0.338
La: 0.500 0.743 0.000
La: 0.832 0.085 0.338
La: 0.500 0.257 0.000
La: 0.168 0.915 0.662
Cu: 0.666 0.167 0.666
Cu: 0.335 0.334 0.333
Cu: 0.334 0.833 0.334
Cu: 0.000 0.500 0.000
Cu: 0.665 0.666 0.667
Au: 0.000 0.000 0.000

Density (g/cm3): 7.47
Formation enthalpy at 0 K (eV/f.u.): -2.90
Final energy (eV per cell): -56.22

10.
Here is LaCu3Au after structural relaxation from Alexandria via LeMat-Bulk. Energies are from GGA-PBE.

abc: 4.802 4.802 4.802
angles: 90.00 90.00 90.00
Fractional coordinates of all 5 atoms:
Au: 0.000 0.000 0.000
La: 0.500 0.500 0.500
Cu: 0.500 0.000 0.000
Cu: 0.000 0.000 0.500
Cu: 0.000 0.500 0.000

Energy relative to the lowest polymorph listed for this composition (meV/atom): 0.0
Density (g/cm3): 7.89
Formation enthalpy at 0 K (eV/f.u.): 0.77
Final energy (eV per cell): -19.72

11.
Here is LaCuAu2 after structural relaxation from Alexandria via LeMat-Bulk. Energies are from GGA-PBE.

abc: 5.451 5.459 7.156
angles: 67.58 78.97 59.90
Fractional coordinates of all 8 atoms:
Au: 0.407 0.577 0.178
Au: 0.093 0.244 0.178
Au: 0.907 0.756 0.822
Au: 0.593 0.423 0.822
Cu: 0.250 0.751 0.497
Cu: 0.750 0.249 0.503
La: 0.250 0.127 0.746
La: 0.750 0.873 0.254

Density (g/cm3): 11.63
Formation enthalpy at 0 K (eV/f.u.): -2.27
Final energy (eV per cell): -35.69

12.
Here is LaCuAu2 after structural relaxation from Alexandria via LeMat-Bulk. Energies are from GGA-PBE.

abc: 4.857 4.857 9.286
angles: 74.84 74.84 90.00
Fractional coordinates of all 8 atoms:
Au: 0.514 0.125 0.250
Au: 0.375 0.486 0.750
Au: 0.875 0.764 0.750
Au: 0.236 0.625 0.250
La: 0.000 0.000 0.000
La: 0.750 0.250 0.500
Cu: 0.250 0.750 0.500
Cu: 0.500 0.500 0.000

Density (g/cm3): 9.73
Formation enthalpy at 0 K (eV/f.u.): -1.01
Final energy (eV per cell): -33.17